Material: Ti2FePb3O9
Method: DFT, PBE+U
State: relaxed

Values from the calculation:
final energy = -6.936 eV/atom

Unit cell a=5.5722 b=5.5722 c=6.8108 alpha=90.00 beta=90.00 gamma=120.00
Closest atoms and distances in Å follow each position.
Positions (direct):
Pb 0.0000 0.0000 0.0000  12 O 2.79-2.80
O 0.8352 0.6703 0.6624  1 Fe 1.94, 1 Ti 2.00
Pb 0.6667 0.3333 0.3462  12 O 2.70-2.85
O 0.8352 0.1648 0.6624  1 Fe 1.94, 1 Ti 2.00
O 0.0000 0.5000 0.0000  2 Ti 1.97
O 0.5000 0.5000 0.0000  2 Ti 1.97
Ti 0.3333 0.6667 0.1658  6 O 1.97-2.00
Pb 0.3333 0.6667 0.6538  12 O 2.70-2.85
Ti 0.6667 0.3333 0.8342  6 O 1.97-2.00
O 0.1648 0.3297 0.3376  1 Fe 1.94, 1 Ti 2.00
O 0.6703 0.8352 0.3376  1 Fe 1.94, 1 Ti 2.00
O 0.1648 0.8352 0.3376  1 Fe 1.94, 1 Ti 2.00
O 0.3297 0.1648 0.6624  1 Fe 1.94, 1 Ti 2.00
Fe 0.0000 0.0000 0.5000  6 O 1.94
O 0.5000 0.0000 0.0000  2 Ti 1.97